Record 1
76
Lattice="6.924 0.000 0.000 0.000 16.109 0.000 -1.623 0.000 6.216" Properties=species:S:1:pos:R:3 comment="SCAN Li6TiB3O9, single point on PBEsol structure" formation_energy_uncorrected_ev_per_atom=-2.537 space_group="P2_1/c, No. 14" pbc="T T T"
Li -0.078 0.531 1.031
Li -0.890 7.524 4.139
Li 0.480 11.393 0.303
Li -0.332 12.771 3.411
Li 1.247 8.594 0.326
Li 0.436 15.570 3.434
Li 0.212 3.345 5.363
Li 1.023 4.709 2.255
Li 1.100 0.906 5.633
Li 1.912 7.148 2.525
Li 2.452 0.110 1.985
Li 1.641 7.945 5.093
Li 3.661 8.165 1.122
Li 2.849 15.999 4.230
Li 3.389 8.961 3.690
Li 4.201 15.203 0.582
Li 4.278 11.400 3.960
Li 5.090 12.764 0.852
Li 4.865 0.540 2.782
Li 4.054 7.515 5.890
Li 5.633 3.338 2.805
Li 4.821 4.716 5.913
Li 6.191 8.586 2.076
Li 5.379 15.578 5.184
Ti 1.531 11.018 5.225
Ti 2.343 13.146 2.117
Ti 2.958 2.964 4.099
Ti 3.770 5.091 0.991
B -0.685 9.957 4.310
B 0.127 14.207 1.203
B 0.724 2.018 3.119
B 1.536 6.037 0.011
B 2.299 10.276 2.136
B 1.487 13.888 5.244
B 3.814 2.221 0.971
B 3.002 5.834 4.079
B 3.765 10.073 6.204
B 4.577 14.091 3.096
B 5.174 1.902 5.013
B 5.986 6.153 1.905
O -0.420 1.484 2.601
O -1.232 6.571 5.709
O -0.570 11.303 4.601
O 0.242 12.861 1.493
O -0.750 1.313 5.742
O 0.061 6.742 2.634
O 0.350 9.196 4.821
O 1.162 14.968 1.713
O 0.878 3.336 3.505
O 1.690 4.718 0.397
O 2.329 11.180 1.087
O 1.517 12.985 4.195
O 1.846 1.251 3.367
O 2.657 6.804 0.259
O 2.211 8.920 1.969
O 1.399 15.244 5.077
O 2.461 10.757 3.424
O 3.273 13.407 0.316
O 2.028 2.702 5.899
O 2.840 5.352 2.792
O 3.902 0.866 1.139
O 3.090 7.189 4.247
O 2.644 9.306 5.956
O 3.455 14.859 2.848
O 3.784 3.125 2.021
O 2.972 4.930 5.129
O 3.611 11.391 5.818
O 4.423 12.773 2.711
O 4.139 1.141 4.503
O 4.951 6.914 1.395
O 5.240 9.367 3.581
O 6.052 14.797 0.474
O 5.059 3.248 4.723
O 5.871 4.807 1.615
O 6.533 9.539 0.507
O 5.721 14.625 3.615

Record 2
12
Lattice="6.404 -1.449 0.000 6.404 1.449 0.000 -1.772 0.000 5.556" Properties=species:S:1:pos:R:3 comment="SCAN Li3Ti2CrO6, single point on PBEsol structure" formation_energy_uncorrected_ev_per_atom=-2.716 space_group="C2/m, No. 12" pbc="T T T"
Li 0.000 0.000 0.000
Li 3.071 0.000 3.766
Li 7.965 0.000 1.790
Ti 4.076 0.000 1.070
Ti 6.961 0.000 4.486
Cr -0.886 0.000 2.778
O 1.102 0.000 3.237
O 2.091 0.000 0.334
O 5.052 0.000 4.099
O 5.984 0.000 1.457
O 8.945 0.000 5.222
O 9.935 0.000 2.319

Record 3
12
Lattice="6.601 0.000 0.000 0.000 5.130 0.000 0.000 0.000 9.731" Properties=species:S:1:pos:R:3 comment="SCAN CaMg2, single point on PBEsol structure" energy_ev_per_atom=-6.5541 space_group="Pnma, No. 62" pbc="T T T"
Ca 1.059 1.282 0.794
Ca 2.241 3.847 5.660
Ca 4.359 1.282 4.071
Ca 5.541 3.847 8.937
Mg 0.420 1.282 7.128
Mg 1.004 1.282 4.014
Mg 2.296 3.847 8.879
Mg 2.881 3.847 2.262
Mg 3.720 1.282 7.469
Mg 4.304 1.282 0.852
Mg 5.596 3.847 5.718
Mg 6.181 3.847 2.604

Record 4
3
Lattice="4.259 0.000 0.000 -2.130 3.689 0.000 0.000 0.000 5.454" Properties=species:S:1:pos:R:3 comment="SCAN AsPbBr, single point on PBEsol structure" formation_energy_uncorrected_ev_per_atom=-0.012 relative_energy_ev_per_atom=0.0000 space_group="P3m1, No. 156" pbc="T T T"
As 0.000 0.000 0.000
Pb 0.000 2.459 1.193
Br 2.130 1.230 3.307

| no. | total magnetic moment (μB per formula unit) |
| --- | --- |
| 1 | 1.000 |
| 2 | 0.998 |
| 3 | 0.000 |
| 4 | 0.000 |